1.
# RbNpMnS4

RbNpMnS4 after structural relaxation (PBE, Alexandria via LeMat-Bulk).

abc: 6.4706 6.3529 9.1709
angles: 90.00 108.56 90.00
With the nearest neighbours (Å) after each atom.
Sites, in units of the cell vectors:
Mn (0.2239, 0.7500, 0.3353)  4 S 2.20-2.23
Mn (0.7761, 0.2500, 0.6647)  4 S 2.20-2.23
S (0.4401, 0.7500, 0.5756)  1 Mn 2.20
S (0.0178, 0.9903, 0.6977)  1 Mn 2.23
S (0.4333, 0.7500, 0.1846)  1 Mn 2.22
S (0.9822, 0.0097, 0.3023)  1 Mn 2.23
S (0.9822, 0.4903, 0.3023)  1 Mn 2.23
S (0.5667, 0.2500, 0.8154)  1 Mn 2.22
S (0.5599, 0.2500, 0.4244)  1 Mn 2.20
S (0.0178, 0.5097, 0.6977)  1 Mn 2.23
Np (0.2311, 0.2500, 0.5512)  6 S 2.69-2.79
Np (0.7689, 0.7500, 0.4488)  6 S 2.69-2.79
Rb (0.2639, 0.2500, 0.0580)  8 S 3.30-3.64
Rb (0.7361, 0.7500, 0.9420)  8 S 3.30-3.64

Properties
Energy relative to the elements, uncorrected in eV/f.u.: -7.440


2.
# Sn2GeBi2

Sn2GeBi2 after structural relaxation (PBE, Alexandria via LeMat-Bulk).

abc: 7.2748 7.2748 5.7499
angles: 90.00 90.00 90.00
With the nearest neighbours (Å) after each atom.
Sites, in units of the cell vectors:
Ge (0.0000, 0.0000, 0.0000)  4 Sn 2.80
Ge (0.5000, 0.5000, 0.0000)  4 Sn 2.80
Sn (0.8570, 0.6430, 0.0000)  2 Ge 2.80, 1 Sn 2.94
Sn (0.6430, 0.1430, 0.0000)  2 Ge 2.80, 1 Sn 2.94
Sn (0.3570, 0.8570, 0.0000)  2 Ge 2.80, 1 Sn 2.94
Sn (0.1430, 0.3570, 0.0000)  2 Ge 2.80, 1 Sn 2.94
Bi (0.7696, 0.2696, 0.5000)  2 Sn 3.16
Bi (0.2696, 0.2304, 0.5000)  2 Sn 3.16
Bi (0.7304, 0.7696, 0.5000)  2 Sn 3.16
Bi (0.2304, 0.7304, 0.5000)  2 Sn 3.16

Properties
Polymorph energy (0 for the lowest one) in meV/atom: 0.0
Energy of formation from the pure elements in meV/atom: 230


3.
# CdCuIr2

CdCuIr2 after structural relaxation (PBE, Alexandria via LeMat-Bulk).

abc: 2.8170 2.8170 7.6640
angles: 90.00 90.00 90.00
With the nearest neighbours (Å) after each atom.
Sites, in units of the cell vectors:
Ir (0.0000, 0.0000, 0.5299)  4 Cu 2.61, 4 Ir 2.82
Ir (0.0000, 0.0000, 0.9701)  4 Cu 2.61, 4 Ir 2.82
Cd (0.5000, 0.5000, 0.2500)  4 Cd 2.82, 8 Ir 2.93
Cu (0.5000, 0.5000, 0.7500)  8 Ir 2.61, 4 Cu 2.82

Properties
Energy of formation from the pure elements in meV/atom: 301


4.
# ReMo2Rh

ReMo2Rh after structural relaxation (PBE, Alexandria via LeMat-Bulk).

abc: 4.1151 2.6907 5.9164
angles: 69.53 90.00 90.00
With the nearest neighbours (Å) after each atom.
Sites, in units of the cell vectors:
Mo (0.0000, 0.0764, 0.9878)  4 Mo 2.69-2.75, 2 Re 2.70-2.93, 4 Rh 2.76-2.80
Mo (0.5000, 0.2568, 0.2577)  2 Re 2.64, 4 Mo 2.69-2.75, 2 Rh 2.77-2.81
Re (0.0000, 0.4242, 0.5010)  4 Mo 2.64-2.93, 2 Re 2.69, 4 Rh 2.81-2.84
Rh (0.5000, 0.7426, 0.7534)  2 Rh 2.69, 6 Mo 2.76-2.81, 4 Re 2.81-2.84

Properties
Polymorph energy (0 for the lowest one) in meV/atom: 78.7
Energy of formation from the pure elements in meV/atom: 75


| no. | raw total energy (eV/cell) |
| --- | --- |
| 1 | -94.1 |
| 2 | -38.5 |
| 3 | -21.5 |
| 4 | -41.2 |